(1)
Material: CeGaAg2
Method: DFT, PBE
State: optimized geometry

V = 84.85 Å³/f.u.
size of the total moment = 0.69 μB/f.u.
relative energy among the computed polymorphs = 0.23 eV per formula unit
formation energy = -201 meV/atom

abc: 4.9323 4.9323 4.9323
angles: 60.00 60.00 60.00
Last column: nearest neighbours and their distance in Å.
Fractional coordinates of all 4 atoms:
Ga 0.5000 0.5000 0.5000  8 Ag 3.02
Ce 0.0000 0.0000 0.0000  8 Ag 3.02
Ag 0.7500 0.7500 0.7500  4 Ce 3.02, 4 Ga 3.02
Ag 0.2500 0.2500 0.2500  4 Ce 3.02, 4 Ga 3.02

***

(2)
Material: Tl2CdCl5
Method: DFT, PBE
State: optimized geometry

V = 273.52 Å³/f.u.
size of the total moment = 0.00 μB/f.u.
ΔE_f (raw) = -7.0 eV/f.u.

abc: 5.6485 7.6148 13.6951
angles: 90.00 90.00 111.77
Last column: nearest neighbours and their distance in Å.
Fractional coordinates of all 16 atoms:
Tl 0.8525 0.7049 0.4217  5 Cl 2.90-3.11
Tl 0.8525 0.7049 0.0783  5 Cl 2.90-3.11
Tl 0.1475 0.2951 0.5783  5 Cl 2.90-3.11
Tl 0.1475 0.2951 0.9217  5 Cl 2.90-3.11
Cd 0.1864 0.3729 0.2500  6 Cl 2.59-2.84
Cd 0.8136 0.6271 0.7500  6 Cl 2.59-2.84
Cl 0.3157 0.6314 0.3948  1 Cd 2.70, 2 Tl 2.90
Cl 0.9416 0.8833 0.6152  1 Cd 2.59
Cl 0.0584 0.1167 0.3848  1 Cd 2.59
Cl 0.7085 0.4170 0.2500  2 Cd 2.84, 2 Tl 3.11
Cl 0.9416 0.8833 0.8848  1 Cd 2.59
Cl 0.3157 0.6314 0.1052  1 Cd 2.70, 2 Tl 2.90
Cl 0.2915 0.5830 0.7500  2 Cd 2.84, 2 Tl 3.11
Cl 0.6843 0.3686 0.6052  1 Cd 2.70, 2 Tl 2.90
Cl 0.0584 0.1167 0.1152  1 Cd 2.59
Cl 0.6843 0.3686 0.8948  1 Cd 2.70, 2 Tl 2.90

***

(3)
Material: Y3Mo
Method: DFT, PBE
State: optimized geometry

V = 102.94 Å³/f.u.
size of the total moment = 0.26 μB/f.u.
relative energy among the computed polymorphs = 1.31 eV per formula unit
formation energy = 503 meV/atom

abc: 3.2416 6.1511 6.4295
angles: 121.51 109.64 79.88
Last column: nearest neighbours and their distance in Å.
Fractional coordinates of all 4 atoms:
Y 0.5000 0.5000 0.0000  6 Y 3.21-3.24, 2 Mo 3.21
Y 0.5000 0.5000 0.5000  2 Mo 3.21, 6 Y 3.21-3.24
Y 0.0000 0.0000 0.5000  6 Y 3.21-3.24, 2 Mo 3.21
Mo 0.0000 0.0000 0.0000  6 Y 3.21, 2 Mo 3.24

***

(4)
Material: KTeBr
Method: DFT, PBE
State: optimized geometry

V = 102.77 Å³/f.u.
size of the total moment = 0.00 μB/f.u.
ΔE_f (raw) = -1.7 eV/f.u.
relative energy among the computed polymorphs = 1.08 eV per formula unit

abc: 9.1215 9.1217 3.4183
angles: 79.20 79.20 21.60
Last column: nearest neighbours and their distance in Å.
Fractional coordinates of all 3 atoms:
K 0.3501 0.3501 0.6499  4 Br 3.16, 4 K 3.42
Br 0.9655 0.9655 0.0345  4 K 3.16, 4 Br 3.42
Te 0.6844 0.6844 0.3156  4 Te 3.42, 4 K 3.79

***

(5)
Material: CsTc2Ru2
Method: DFT, PBE
State: optimized geometry

V = 100.74 Å³/f.u.
size of the total moment = 0.00 μB/f.u.
relative energy among the computed polymorphs = 0.46 eV per formula unit
formation energy = 1025 meV/atom

abc: 4.4960 4.4960 5.9111
angles: 67.65 67.65 90.00
Last column: nearest neighbours and their distance in Å.
Fractional coordinates of all 5 atoms:
Tc 0.3729 0.3729 0.2542  1 Tc 2.53, 4 Ru 2.56
Tc 0.6271 0.6271 0.7458  1 Tc 2.53, 4 Ru 2.56
Cs 0.0000 0.0000 0.0000  8 Ru 3.36, 10 Tc 3.42-3.72
Ru 0.7500 0.2500 0.5000  4 Tc 2.56
Ru 0.2500 0.7500 0.5000  4 Tc 2.56

***

(6)
Material: CsPrFe2Br8
Method: DFT, PBE
State: optimized geometry

V = 479.88 Å³/f.u.
size of the total moment = 8.00 μB/f.u.
ΔE_f (raw) = -13.2 eV/f.u.

abc: 6.9602 6.9602 10.6963
angles: 83.84 83.84 69.08
Last column: nearest neighbours and their distance in Å.
Fractional coordinates of all 12 atoms:
Fe 0.6151 0.6151 0.2115  4 Br 2.36-2.49
Fe 0.3849 0.3849 0.7885  4 Br 2.36-2.49
Br 0.2560 0.2560 0.9904  1 Fe 2.45
Br 0.3119 0.3119 0.5921  1 Fe 2.36
Br 0.7440 0.7440 0.0096  1 Fe 2.45
Br 0.2725 0.7663 0.7956  1 Fe 2.49
Br 0.7275 0.2337 0.2044  1 Fe 2.49
Br 0.6881 0.6881 0.4079  1 Fe 2.36
Br 0.2337 0.7275 0.2044  1 Fe 2.49
Br 0.7663 0.2725 0.7956  1 Fe 2.49
Pr 0.0000 0.0000 0.0000  6 Br 2.92-2.95
Cs 0.0000 0.0000 0.5000  6 Br 3.77-3.83